# KCd2Ru PBE-GGA relaxed
# Mass density ... 6.976 g/cm3
# Total DFT energy (no corrections) ... -2.55 eV/atom
# Space-group type ... R-3m
# Offset from the most stable computed form ... 13.6 kJ/mol of atoms
# Crystal system ... trigonal
# Formation enthalpy at 0 K ... 0.498 eV per atom
# Spin magnetization ... 0.410 μB/f.u.
data_KCd2Ru
_cell_length_a 3.055
_cell_length_b 3.055
_cell_length_c 32.241
_cell_angle_alpha 90.00
_cell_angle_beta 90.00
_cell_angle_gamma 120.00
_symmetry_space_group_name_H-M 'P 1'
_symmetry_Int_Tables_number 1
loop_
_symmetry_equiv_pos_as_xyz
'x,y,z'
loop_
_atom_site_label
_atom_site_type_symbol
_atom_site_fract_x
_atom_site_fract_y
_atom_site_fract_z
K1 K 0.000 0.000 0.000
K2 K 0.333 0.667 0.667
K3 K 0.667 0.333 0.333
Cd1 Cd 0.000 0.000 0.237
Cd2 Cd 0.000 0.000 0.763
Cd3 Cd 0.333 0.667 0.430
Cd4 Cd 0.333 0.667 0.904
Cd5 Cd 0.667 0.333 0.096
Cd6 Cd 0.667 0.333 0.570
Ru1 Ru 0.000 0.000 0.500
Ru2 Ru 0.333 0.667 0.167
Ru3 Ru 0.667 0.333 0.833

# KCdRu2 PBE-GGA relaxed
# Mass density ... 7.660 g/cm3
# Total DFT energy (no corrections) ... -4.17 eV/atom
# Space-group type ... Immm
# Crystal system ... orthorhombic
# Formation enthalpy at 0 K ... 0.966 eV per atom
# Spin magnetization ... 1.269 μB/f.u.
data_KCdRu2
_cell_length_a 2.843
_cell_length_b 5.024
_cell_length_c 10.735
_cell_angle_alpha 90.00
_cell_angle_beta 90.00
_cell_angle_gamma 90.00
_symmetry_space_group_name_H-M 'P 1'
_symmetry_Int_Tables_number 1
loop_
_symmetry_equiv_pos_as_xyz
'x,y,z'
loop_
_atom_site_label
_atom_site_type_symbol
_atom_site_fract_x
_atom_site_fract_y
_atom_site_fract_z
K1 K 0.000 0.000 0.000
K2 K 0.500 0.500 0.500
Cd1 Cd 0.000 0.000 0.500
Cd2 Cd 0.500 0.500 0.000
Ru1 Ru 0.000 0.500 0.227
Ru2 Ru 0.000 0.500 0.773
Ru3 Ru 0.500 0.000 0.273
Ru4 Ru 0.500 0.000 0.727

# K2CdRu PBE-GGA relaxed
# Mass density ... 3.431 g/cm3
# Total DFT energy (no corrections) ... -2.44 eV/atom
# Space-group type ... Cm
# Crystal system ... monoclinic
# Formation enthalpy at 0 K ... 0.657 eV per atom
# Spin magnetization ... 1.205 μB/f.u.
data_K2CdRu
_cell_length_a 9.419
_cell_length_b 3.185
_cell_length_c 9.435
_cell_angle_alpha 90.00
_cell_angle_beta 94.18
_cell_angle_gamma 90.00
_symmetry_space_group_name_H-M 'P 1'
_symmetry_Int_Tables_number 1
loop_
_symmetry_equiv_pos_as_xyz
'x,y,z'
loop_
_atom_site_label
_atom_site_type_symbol
_atom_site_fract_x
_atom_site_fract_y
_atom_site_fract_z
K1 K 0.000 0.000 0.000
K2 K 0.220 0.000 0.569
K3 K 0.500 0.500 0.000
K4 K 0.720 0.500 0.569
Cd1 Cd 0.251 0.500 0.245
Cd2 Cd 0.751 0.000 0.245
Ru1 Ru 0.482 0.000 0.320
Ru2 Ru 0.982 0.500 0.320